1.
# MnNb2FeW, relaxed, DFT PBE
data_MnNb2FeW
_cell_length_a 4.8439
_cell_length_b 4.8439
_cell_length_c 4.3747
_cell_angle_alpha 90.00
_cell_angle_beta 90.00
_cell_angle_gamma 90.00
_symmetry_space_group_name_H-M 'P 4/m m m'
_symmetry_Int_Tables_number 123
_symmetry_space_group_name_Hall '-P 4 2'
loop_
_atom_site_label
_atom_site_type_symbol
_atom_site_fract_x
_atom_site_fract_y
_atom_site_fract_z
_atom_site_occupancy
Mn1 Mn 0.0000 0.0000 0.0000 1
Nb1 Nb 0.0000 0.5000 0.5000 1
Fe1 Fe 0.5000 0.5000 0.0000 1
W1 W 0.5000 0.5000 0.5000 1
# - magnetization (μB per formula unit) = 1.045
# - E_form (eV/atom) = 1.861
# - calculated volume (A^3/atom) = 20.529


2.
# MnNb2FeW, relaxed, DFT PBE
data_MnNb2FeW
_cell_length_a 4.5171
_cell_length_b 4.5171
_cell_length_c 4.4222
_cell_angle_alpha 90.00
_cell_angle_beta 90.00
_cell_angle_gamma 90.00
_symmetry_space_group_name_H-M 'P 4/m m m'
_symmetry_Int_Tables_number 123
_symmetry_space_group_name_Hall '-P 4 2'
loop_
_atom_site_label
_atom_site_type_symbol
_atom_site_fract_x
_atom_site_fract_y
_atom_site_fract_z
_atom_site_occupancy
Mn1 Mn 0.0000 0.0000 0.0000 1
Nb1 Nb 0.0000 0.5000 0.5000 1
Fe1 Fe 0.5000 0.5000 0.5000 1
W1 W 0.5000 0.5000 0.0000 1
# - magnetization (μB per formula unit) = 0.000
# - E_form (eV/atom) = 1.257
# - calculated volume (A^3/atom) = 18.046


3.
# MnNbZnFe, relaxed, DFT PBE
data_MnNbZnFe
_cell_length_a 5.9853
_cell_length_b 5.9853
_cell_length_c 5.9853
_cell_angle_alpha 90.00
_cell_angle_beta 90.00
_cell_angle_gamma 90.00
_symmetry_space_group_name_H-M 'F -4 3 m'
_symmetry_Int_Tables_number 216
_symmetry_space_group_name_Hall 'F -4 2 3'
loop_
_atom_site_label
_atom_site_type_symbol
_atom_site_fract_x
_atom_site_fract_y
_atom_site_fract_z
_atom_site_occupancy
Mn1 Mn 0.0000 0.0000 0.0000 1
Nb1 Nb 0.2500 0.2500 0.2500 1
Zn1 Zn 0.2500 0.2500 0.7500 1
Fe1 Fe 0.0000 0.0000 0.5000 1
# - magnetization (μB per formula unit) = 2.117
# - E_form (eV/atom) = 0.009
# - calculated volume (A^3/atom) = 13.401


4.
# ZrMnNbFe, relaxed, DFT PBE
data_ZrMnNbFe
_cell_length_a 6.2331
_cell_length_b 6.2331
_cell_length_c 6.2331
_cell_angle_alpha 90.00
_cell_angle_beta 90.00
_cell_angle_gamma 90.00
_symmetry_space_group_name_H-M 'F -4 3 m'
_symmetry_Int_Tables_number 216
_symmetry_space_group_name_Hall 'F -4 2 3'
loop_
_atom_site_label
_atom_site_type_symbol
_atom_site_fract_x
_atom_site_fract_y
_atom_site_fract_z
_atom_site_occupancy
Zr1 Zr 0.0000 0.0000 0.0000 1
Mn1 Mn 0.2500 0.2500 0.2500 1
Nb1 Nb 0.0000 0.0000 0.5000 1
Fe1 Fe 0.2500 0.2500 0.7500 1
# - magnetization (μB per formula unit) = 0.000
# - E_form (eV/atom) = -0.096
# - calculated volume (A^3/atom) = 15.135


5.
# NdMn10Fe2, relaxed, DFT PBE
data_NdMn10Fe2
_cell_length_a 8.4289
_cell_length_b 9.6673
_cell_length_c 8.0548
_cell_angle_alpha 90.00
_cell_angle_beta 90.00
_cell_angle_gamma 90.00
_symmetry_space_group_name_H-M 'C m c m'
_symmetry_Int_Tables_number 63
_symmetry_space_group_name_Hall '-C 2c 2'
loop_
_atom_site_label
_atom_site_type_symbol
_atom_site_fract_x
_atom_site_fract_y
_atom_site_fract_z
_atom_site_occupancy
Nd1 Nd 0.0000 0.1185 0.2500 1
Mn1 Mn 0.0000 0.1735 0.6077 1
Mn2 Mn 0.0000 0.3959 0.0697 1
Mn3 Mn 0.1323 0.3842 0.7500 1
Mn4 Mn 0.2304 0.0000 0.0000 1
Mn5 Mn 0.2398 0.3680 0.2500 1
Fe1 Fe 0.2500 0.2500 0.0000 1
# - magnetization (μB per formula unit) = 1.539
# - E_form (eV/atom) = 0.070
# - calculated volume (A^3/atom) = 12.622


6.
# NdMn2Fe10, relaxed, DFT PBE
data_NdMn2Fe10
_cell_length_a 4.6639
_cell_length_b 8.3969
_cell_length_c 8.5189
_cell_angle_alpha 90.00
_cell_angle_beta 90.00
_cell_angle_gamma 90.00
_symmetry_space_group_name_H-M 'I m m m'
_symmetry_Int_Tables_number 71
_symmetry_space_group_name_Hall '-I 2 2'
loop_
_atom_site_label
_atom_site_type_symbol
_atom_site_fract_x
_atom_site_fract_y
_atom_site_fract_z
_atom_site_occupancy
Nd1 Nd 0.0000 0.0000 0.0000 1
Mn1 Mn 0.0000 0.0000 0.3685 1
Fe1 Fe 0.0000 0.2716 0.5000 1
Fe2 Fe 0.0000 0.3586 0.0000 1
Fe3 Fe 0.0000 0.5000 0.2653 1
Fe4 Fe 0.2500 0.2500 0.2500 1
# - magnetization (μB per formula unit) = 16.504
# - E_form (eV/atom) = 0.064
# - calculated volume (A^3/atom) = 12.832